PBE MgCo3Si3, relaxed; ΔE_f (raw) = 1.19 eV/f.u.; final energy = -75.97 eV for the cell shown; space-group type = Pm-3n (223)
1.0
6.177 0.000 0.000
0.000 6.177 0.000
0.000 0.000 6.177
Si Co Mg
6 6 2
Cartesian
0.000 4.633 3.088 Si
4.633 3.088 0.000 Si
1.544 3.088 0.000 Si
0.000 1.544 3.088 Si
3.088 0.000 1.544 Si
3.088 0.000 4.633 Si
3.088 1.544 0.000 Co
1.544 0.000 3.088 Co
0.000 3.088 1.544 Co
4.633 0.000 3.088 Co
3.088 4.633 0.000 Co
0.000 3.088 4.633 Co
0.000 0.000 0.000 Mg
3.088 3.088 3.088 Mg

***

PBE Ho3Er5Sc, relaxed; energy of formation = 605 meV per atom; final energy = -74.86 eV for the cell shown; space-group type = C2/m (12)
1.0
8.068 -0.830 0.751
1.410 7.987 0.751
3.506 2.647 10.515
Ho Sc Er
6 2 10
Cartesian
4.366 3.297 7.232 Ho
9.100 6.872 9.007 Ho
8.618 6.507 4.785 Ho
3.883 2.932 3.010 Ho
1.753 1.323 5.257 Ho
0.000 0.000 0.000 Ho
1.396 1.054 2.308 Sc
11.588 8.750 9.709 Sc
5.484 7.510 3.103 Er
3.301 5.483 0.751 Er
6.564 4.957 1.486 Er
6.177 1.674 0.751 Er
8.724 3.218 3.103 Er
6.999 5.285 7.354 Er
5.984 4.519 4.663 Er
4.260 6.585 8.914 Er
6.419 4.847 10.531 Er
7.500 2.294 8.914 Er

***

PBE Nb14ZnRh, relaxed; energy of formation = -77 meV per atom; final energy = -150.83 eV for the cell shown; space-group type = Cmmm (65)
1.0
-0.128 -3.369 4.613
4.778 3.126 0.208
-4.481 6.539 4.651
Nb Rh Zn
14 1 1
Cartesian
-2.817 4.000 5.191 Nb
-0.646 -0.856 5.239 Nb
4.164 2.314 0.759 Nb
-0.622 0.797 2.913 Nb
-0.436 3.876 7.660 Nb
1.860 3.900 5.390 Nb
1.760 0.672 5.382 Nb
1.775 0.751 0.655 Nb
-2.828 2.328 7.504 Nb
1.771 2.344 3.069 Nb
-0.464 4.021 2.980 Nb
4.100 0.630 3.065 Nb
-0.411 5.528 5.334 Nb
1.711 -0.933 2.961 Nb
1.924 5.584 3.084 Rh
-0.528 2.337 5.286 Zn

***

PBE CaDyTh, relaxed; energy of formation = 100 meV per atom; final energy = -13.72 eV for the cell shown; offset from the most stable computed form = 51.3 meV/atom; space-group type = P3m1 (156)
1.0
-2.338 2.466 1.253
-0.965 -2.195 -2.715
-3.142 -6.021 5.986
Dy Ca Th
1 1 1
Cartesian
-2.973 -1.182 2.013 Dy
-3.134 -6.006 5.972 Ca
-3.479 -4.583 2.526 Th

***

Look up the final energy of the first one. -75.97 eV for the cell shown

***

What is the final energy in the fourth record? -13.72 eV for the cell shown